YIrRh2 after structural relaxation, computed with PBE-GGA.

Properties
Symmetry   Fm-3m, No. 225
Distance to the lowest polymorph of the same formula   371 meV/atom

The structure in POSCAR format:
```
YIrRh2
1.0
0.0000 3.2489 3.2489
3.2489 0.0000 3.2489
3.2489 3.2489 0.0000
Y Ir Rh
1 1 2
Direct
0.0000 0.0000 0.0000
0.5000 0.5000 0.5000
0.2500 0.2500 0.2500
0.7500 0.7500 0.7500
```